First-principles (GGA-PBE) data for KRb2P2 after structural relaxation, as listed in Alexandria via LeMat-Bulk.

Lattice parameters (Å, degrees): 8.2873 8.2873 5.2790 90.00 90.00 90.00
Last column: nearest neighbours and their distance in Å.
Positions (direct):
P 0.4073 0.9073 0.0000  1 P 2.17
P 0.9073 0.5927 0.0000  1 P 2.17
P 0.5927 0.0927 0.0000  1 P 2.17
P 0.0927 0.4073 0.0000  1 P 2.17
K 0.0000 0.0000 0.0000  4 P 3.46
K 0.5000 0.5000 0.0000  4 P 3.46
Rb 0.1710 0.6710 0.5000  6 P 3.49-3.83
Rb 0.6710 0.8290 0.5000  6 P 3.49-3.83
Rb 0.8290 0.3290 0.5000  6 P 3.49-3.83
Rb 0.3290 0.1710 0.5000  6 P 3.49-3.83

Computed properties:
Total moment in Bohr magnetons per cell: 2.000
Total energy in eV per atom: -2.99
Polymorph energy (0 for the lowest one) in meV/atom: 39
E_form in kJ/mol of formula units: -108

---

First-principles (GGA-PBE) data for KRb4P2 after structural relaxation, as listed in Alexandria via LeMat-Bulk.

Lattice parameters (Å, degrees): 5.9414 5.9414 11.5676 75.12 75.12 60.00
Last column: nearest neighbours and their distance in Å.
Positions (direct):
K 0.0000 0.0000 0.0000  2 P 3.17
Rb 0.4116 0.4116 0.7651  3 P 3.48, 3 Rb 3.87
Rb 0.2013 0.2013 0.3962  4 P 3.50-3.64, 3 Rb 3.87
Rb 0.7987 0.7987 0.6038  4 P 3.50-3.64, 3 Rb 3.87
Rb 0.5884 0.5884 0.2349  3 P 3.48, 3 Rb 3.87
P 0.0958 0.0958 0.7127  1 K 3.17, 4 Rb 3.48-3.50
P 0.9042 0.9042 0.2873  1 K 3.17, 4 Rb 3.48-3.50

Computed properties:
Total moment in Bohr magnetons per cell: 1.089
Total energy in eV per atom: -2.35
E_form in kJ/mol of formula units: -61

---

First-principles (GGA-PBE) data for K2Rb2P after structural relaxation, as listed in Alexandria via LeMat-Bulk.

Lattice parameters (Å, degrees): 8.5500 8.5500 6.8377 90.00 90.00 90.00
Last column: nearest neighbours and their distance in Å.
Positions (direct):
P 0.0000 0.0000 0.0000  4 K 3.20
P 0.5000 0.5000 0.0000  4 K 3.20
K 0.3379 0.8379 0.0000  2 P 3.20
K 0.8379 0.6621 0.0000  2 P 3.20
K 0.6621 0.1621 0.0000  2 P 3.20
K 0.1621 0.3379 0.0000  2 P 3.20
Rb 0.2055 0.7055 0.5000  2 K 3.77
Rb 0.7055 0.7945 0.5000  2 K 3.77
Rb 0.7945 0.2945 0.5000  2 K 3.77
Rb 0.2945 0.2055 0.5000  2 K 3.77

Computed properties:
Total moment in Bohr magnetons per cell: 1.556
Total energy in eV per atom: -1.86
E_form in kJ/mol of formula units: 22

---

First-principles (GGA-PBE) data for K4Rb2P after structural relaxation, as listed in Alexandria via LeMat-Bulk.

Lattice parameters (Å, degrees): 6.3516 6.3516 13.4594 76.35 76.35 90.00
Last column: nearest neighbours and their distance in Å.
Positions (direct):
P 0.0000 0.0000 0.0000  6 K 3.07-3.18
K 0.1209 0.1209 0.7583  1 P 3.07
K 0.8791 0.8791 0.2417  1 P 3.07
K 0.0000 0.5000 0.0000  2 P 3.18
K 0.5000 0.0000 0.0000  2 P 3.18
Rb 0.3042 0.3042 0.3915  5 K 4.65-4.88
Rb 0.6958 0.6958 0.6085  5 K 4.65-4.88

Computed properties:
Total moment in Bohr magnetons per cell: 0.000
Total energy in eV per atom: -1.74
E_form in kJ/mol of formula units: -42

---

First-principles (GGA-PBE) data for K2RbP2 after structural relaxation, as listed in Alexandria via LeMat-Bulk.

Lattice parameters (Å, degrees): 8.3887 8.3887 4.9923 90.00 90.00 90.00
Last column: nearest neighbours and their distance in Å.
Positions (direct):
P 0.4086 0.9086 0.0000  1 P 2.17
P 0.9086 0.5914 0.0000  1 P 2.17
P 0.5914 0.0914 0.0000  1 P 2.17
P 0.0914 0.4086 0.0000  1 P 2.17
K 0.1644 0.6644 0.5000  4 P 3.35
K 0.6644 0.8356 0.5000  4 P 3.35
K 0.8356 0.3356 0.5000  4 P 3.35
K 0.3356 0.1644 0.5000  4 P 3.35
Rb 0.0000 0.0000 0.0000  4 P 3.51
Rb 0.5000 0.5000 0.0000  4 P 3.51

Computed properties:
Total moment in Bohr magnetons per cell: 1.790
Total energy in eV per atom: -3.04
Polymorph energy (0 for the lowest one) in meV/atom: 0
E_form in kJ/mol of formula units: -117

---

First-principles (GGA-PBE) data for K2RbP after structural relaxation, as listed in Alexandria via LeMat-Bulk.

Lattice parameters (Å, degrees): 5.6119 5.6119 6.8722 65.90 65.90 60.00
Last column: nearest neighbours and their distance in Å.
Positions (direct):
K 0.0329 0.0329 0.9014  3 P 3.25, 3 K 3.53
K 0.2889 0.2889 0.1332  3 P 3.45, 3 K 3.53, 1 Rb 3.66
Rb 0.4900 0.4900 0.5300  1 P 3.60, 7 K 3.66-4.04
P 0.6882 0.6882 0.9354  6 K 3.25-3.45, 1 Rb 3.60

Computed properties:
Total moment in Bohr magnetons per cell: 0.000
Total energy in eV per atom: -2.27
E_form in kJ/mol of formula units: -51